The following is a PBE calculation of a geometry-optimized PrSm2N2 structure, from Alexandria via LeMat-Bulk.

Calculated values
**Size of the total moment**: 0.000 μB/atom
**Formation energy without anion corrections**: -1.118 eV per atom
**SG**: Immm, No. 71
**Volume**: 207.00 Å³ per cell

Cell: 3.6197 5.1102 11.1909 Å, 90.00 90.00 90.00°
Last column: nearest neighbours and their distance in Å.
Element x y z (fractional)
1 Pr 0.0000 0.0000 0.0000  4 N 2.66
2 Pr 0.5000 0.5000 0.5000  4 N 2.66
3 Sm 0.0000 0.0000 0.3178  4 N 2.42-2.56
4 Sm 0.0000 0.0000 0.6822  4 N 2.42-2.56
5 Sm 0.5000 0.5000 0.1822  4 N 2.42-2.56
6 Sm 0.5000 0.5000 0.8178  4 N 2.42-2.56
7 N 0.0000 0.5000 0.3253  4 Sm 2.42-2.56, 2 Pr 2.66
8 N 0.0000 0.5000 0.6747  4 Sm 2.42-2.56, 2 Pr 2.66
9 N 0.5000 0.0000 0.1747  4 Sm 2.42-2.56, 2 Pr 2.66
10 N 0.5000 0.0000 0.8253  4 Sm 2.42-2.56, 2 Pr 2.66